Here is a geometry-optimized Li4Cr3GaO8 structure from the Alexandria database. Energies are from PBE with a Hubbard U.

Values from the calculation:
- crystal system = monoclinic
- DOS(E_F) (states/eV/cell) = 0.00
- calculated total energy (eV per atom) = -6.593
- total magnetic moment (μB per formula unit) = 9.0

Cell and atoms, written as CIF:
```
data_Li4Cr3GaO8
_chemical_formula_sum 'Li4 Cr3 Ga1 O8'
_cell_length_a 5.1358
_cell_length_b 5.9327
_cell_length_c 5.1497
_cell_angle_alpha 90.00
_cell_angle_beta 109.39
_cell_angle_gamma 90.00
_space_group_name_H-M_alt 'P 1 2/m 1'
_space_group_IT_number 10
loop_
_space_group_symop_operation_xyz
'x,y,z'
'-x,-y,-z'
'-x,y,-z'
'x,-y,z'
loop_
_atom_site_label
_atom_site_type_symbol
_atom_site_fract_x
_atom_site_fract_y
_atom_site_fract_z
_atom_site_occupancy
Li1 Li 0.0000 0.0000 0.0000 1
Li2 Li 0.0000 0.5000 0.0000 1
Li3 Li 0.5000 0.2502 0.0000 1
Cr1 Cr 0.0000 0.2505 0.5000 1
Cr2 Cr 0.5000 0.0000 0.5000 1
Ga1 Ga 0.5000 0.5000 0.5000 1
O1 O 0.2412 0.0000 0.7242 1
O2 O 0.2427 0.5000 0.7254 1
O3 O 0.2588 0.2506 0.2747 1
```